Density functional theory data (PBE) for crystalline Sr2Hg3Au2 at its relaxed geometry.

Lattice parameters (Å, degrees): 5.8785 5.8785 7.8270 106.60 106.60 47.10
Last column: nearest neighbours and their distance in Å.
Fractional positions:
Sr 0.1365 0.1365 0.2775  4 Au 3.19-3.29, 5 Hg 3.51-3.52
Sr 0.8635 0.8635 0.7225  4 Au 3.19-3.29, 5 Hg 3.51-3.52
Hg 0.3786 0.3786 0.0632  3 Au 3.03-3.06, 2 Hg 3.07-3.26
Hg 0.5000 0.5000 0.5000  4 Au 3.06, 2 Hg 3.26
Hg 0.6214 0.6214 0.9368  3 Au 3.03-3.06, 2 Hg 3.07-3.26
Au 0.1605 0.1605 0.7073  5 Hg 3.03-3.06, 4 Sr 3.19-3.29
Au 0.8395 0.8395 0.2927  5 Hg 3.03-3.06, 4 Sr 3.19-3.29

Values from the calculation:
**Crystal system**: monoclinic
**Polymorph energy (0 for the lowest one)**: 0.0 kJ/mol of atoms
**Energy relative to the elements**: -3.7 eV per formula unit
**SG**: C2/m (12)